# Pr6Te3PS2 GGA-PBE optimized geometry
# Raw formation energy   -1696 meV/atom
# Calculated volume   28.9 Å³/atom
# Size of the total moment   0.00 μB per atom
# Crystal system   monoclinic
data_Pr6Te3PS2
_cell_length_a 7.396
_cell_length_b 7.396
_cell_length_c 7.723
_cell_angle_alpha 99.20
_cell_angle_beta 99.20
_cell_angle_gamma 120.00
_space_group_name_H-M_alt 'P 1'
_space_group_IT_number 1
loop_
_space_group_symop_operation_xyz
'x,y,z'
loop_
_atom_site_label
_atom_site_fract_x
_atom_site_fract_y
_atom_site_fract_z
Pr1 0.930 0.600 0.790
Pr2 0.740 0.740 0.209
Pr3 0.070 0.400 0.210
Pr4 0.600 0.930 0.790
Pr5 0.260 0.260 0.791
Pr6 0.400 0.070 0.210
Te1 0.167 0.833 0.500
Te2 0.833 0.167 0.500
Te3 0.500 0.500 0.500
P1 0.000 0.000 0.000
S1 0.333 0.667 0.000
S2 0.667 0.333 0.000